Here is a geometry-optimized KAg2Au structure from the Alexandria database. Energies are from GGA-PBEsol.

The energy of formation from the pure elements is 211 meV/atom. As for the total moment: 0.00 μB per cell. The value obtained for the polymorph energy (0 for the lowest one) is 0.096 eV per atom.

It has space group C2/m (No. 12), with a = 6.079 Å, b = 10.222 Å, c = 2.842 Å, α = 90.00°, β = 115.86° and γ = 90.00°. The asymmetric unit holds K at (0.000, 0.000, 0.000), Ag at (0.250, 0.250, 0.500) and Au at (0.000, 0.500, 0.000).

Here is a geometry-optimized ReHgO3 structure from the Alexandria database. Energies are from GGA-PBEsol.

For the uncorrected formation energy, the calculation gives 1.315 eV per atom. As for the total moment: 4.59 μB per cell.

It has space group Pm-3m (No. 221), with a = 4.124 Å, b = 4.124 Å, c = 4.124 Å, α = 90.00°, β = 90.00° and γ = 90.00°. The asymmetric unit holds Re at (0.000, 0.000, 0.000), Hg at (0.500, 0.500, 0.500) and O at (0.000, 0.500, 0.500).

Here is a geometry-optimized SbRhW2 structure from the Alexandria database. Energies are from GGA-PBEsol.

For the uncorrected formation energy, the calculation gives 0.244 eV per atom. As for the total moment: 0.00 μB per cell.

It has space group C2/m (No. 12), with a = 9.586 Å, b = 3.057 Å, c = 4.516 Å, α = 90.00°, β = 100.73° and γ = 90.00°. The asymmetric unit holds Sb at (0.000, 0.000, 0.000), Rh at (0.000, 0.500, 0.500) and W at (0.245, 0.000, 0.736).

Here is a geometry-optimized PrB2C2 structure from the Alexandria database. Energies are from GGA-PBEsol.

The energy of formation from the pure elements is -442 meV/atom. As for the total moment: 0.00 μB per cell.

It has space group P4/mbm (No. 127), with a = 5.383 Å, b = 5.383 Å, c = 3.809 Å, α = 90.00°, β = 90.00° and γ = 90.00°. The asymmetric unit holds Pr at (0.000, 0.000, 0.000), B at (0.138, 0.362, 0.500) and C at (0.161, 0.661, 0.500).